ZnSn2O5 after structural relaxation. Source: the Alexandria database, functional PBEsol.

Cell lengths 3.9515, 10.3794, 10.2787 Å; angles 90.00, 90.00, 90.00 degrees
Last column: nearest neighbours and their distance in Å.
Space group Cmcm (No. 63)
Symmetry-distinct sites (fractional):
1 Zn 0.0000 0.1836 0.2500  4 O 1.96-2.19
2 Sn 0.0000 0.1364 0.5670  6 O 2.01-2.20
3 O 0.0000 0.0514 0.1140  1 Zn 1.96, 2 Sn 2.01-2.06
4 O 0.0000 0.2259 0.7500  2 Sn 2.10, 2 Zn 2.19
5 O 0.0000 0.3059 0.0617  3 Sn 2.07-2.20

## Properties
Electronic total energy (eV/atom): -6.0979

V4Cu9Cl2O18 after structural relaxation. Source: the Alexandria database, functional PBEsol.

Cell lengths 6.4127, 8.2243, 9.1044 Å; angles 104.90, 96.65, 108.58 degrees
Last column: nearest neighbours and their distance in Å.
Space group P-1 (No. 2)
Symmetry-distinct sites (fractional):
1 V 0.1091 0.0813 0.3500  4 O 1.68-1.78
2 V 0.3324 0.7560 0.8550  4 O 1.66-1.75
3 Cu 0.0000 0.5000 0.0000  4 O 1.92-1.93
4 Cu 0.0000 0.5000 0.5000  4 O 1.88-2.02
5 Cu 0.1315 0.2132 0.0242  4 O 1.88-2.02
6 Cu 0.1710 0.3348 0.6847  4 O 1.87-1.94
7 Cu 0.4247 0.0515 0.6463  4 O 1.91-2.03
8 Cu 0.5000 0.5000 0.0000  4 O 1.90
9 Cl 0.3398 0.6250 0.2694  1 Cu 2.46
10 O 0.0949 0.2837 0.4613  1 V 1.75, 1 Cu 1.94
11 O 0.1031 0.0772 0.1641  1 V 1.68
12 O 0.1295 0.7307 0.9680  1 V 1.74, 2 Cu 1.88-1.93
13 O 0.1437 0.0953 0.6575  1 V 1.78, 2 Cu 1.87-1.96
14 O 0.1898 0.3888 0.9012  4 Cu 1.89-2.02
15 O 0.2209 0.5739 0.6836  1 V 1.75, 2 Cu 1.88-1.89
16 O 0.3416 0.0368 0.4195  1 V 1.73
17 O 0.4012 0.9477 0.8121  1 V 1.66
18 O 0.4442 0.2779 0.0446  1 V 1.75, 2 Cu 1.88-1.90

## Properties
Electronic total energy (eV/atom): -6.6175

Ce7O12 after structural relaxation. Source: the Alexandria database, functional PBEsol.

Cell lengths 10.2303, 10.2303, 9.4603 Å; angles 90.00, 90.00, 120.00 degrees
Last column: nearest neighbours and their distance in Å.
Space group R-3 (No. 148, hexagonal axes)
Symmetry-distinct sites (fractional):
1 Ce 0.0000 0.0000 0.0000  6 O 2.28
2 Ce 0.0474 0.7928 0.6539  6 O 2.28-2.43
3 O 0.0367 0.8152 0.3992  4 Ce 2.28-2.43
4 O 0.0390 0.8217 0.8959  3 Ce 2.28-2.32

## Properties
Electronic total energy (eV/atom): -9.1927

FeGe2BrO after structural relaxation. Source: the Alexandria database, functional PBEsol.

Cell lengths 4.0478, 4.0478, 5.7178 Å; angles 90.00, 90.00, 90.00 degrees
Last column: nearest neighbours and their distance in Å.
Space group P4/mmm (No. 123)
Symmetry-distinct sites (fractional):
1 Fe 0.0000 0.0000 0.0000  4 Br 2.86
2 Ge 0.0000 0.5000 0.5000  2 O 2.02
3 Br 0.5000 0.5000 0.0000  2 O 2.86, 4 Fe 2.86
4 O 0.5000 0.5000 0.5000  4 Ge 2.02

## Properties
Electronic total energy (eV/atom): -4.7274

CaC3Se after structural relaxation. Source: the Alexandria database, functional PBEsol.

Cell lengths 4.3896, 4.3896, 4.3896 Å; angles 90.00, 90.00, 90.00 degrees
Last column: nearest neighbours and their distance in Å.
Space group Pm-3m (No. 221)
Symmetry-distinct sites (fractional):
1 Ca 0.0000 0.0000 0.0000  6 C 2.19
2 C 0.0000 0.0000 0.5000  2 Ca 2.19
3 Se 0.5000 0.5000 0.5000  12 C 3.10

## Properties
Electronic total energy (eV/atom): -3.4863

CdCuPt2 after structural relaxation. Source: the Alexandria database, functional PBEsol.

Cell lengths 2.8463, 3.6458, 5.7884 Å; angles 90.00, 90.00, 90.00 degrees
Last column: nearest neighbours and their distance in Å.
Space group Pmmm (No. 47)
Symmetry-distinct sites (fractional):
1 Cd 0.0000 0.0000 0.0000  8 Pt 2.79, 2 Cd 2.85, 2 Cu 2.89
2 Cu 0.0000 0.0000 0.5000  8 Pt 2.67, 2 Cu 2.85, 2 Cd 2.89
3 Pt 0.5000 0.5000 0.2692  4 Cu 2.67, 3 Pt 2.67-2.85, 4 Cd 2.79

## Properties
Energy of formation (eV per atom): -0.1898

What is the formula in the first record?
ZnSn2O5

What is the formula in the third record?
Ce7O12